1.
Computed, not measured: a PBEsol-optimized structure of SrY2ZnSe at the meta-GGA SCAN level of DFT.

CIF file:
```
data_SrY2ZnSe
_cell_length_a 5.709
_cell_length_b 5.709
_cell_length_c 4.945
_cell_angle_alpha 90.00
_cell_angle_beta 90.00
_cell_angle_gamma 90.00
_symmetry_space_group_name_H-M 'P 4/m m m'
_symmetry_Int_Tables_number 123
_symmetry_space_group_name_Hall '-P 4 2'
loop_
_atom_site_label
_atom_site_fract_x
_atom_site_fract_y
_atom_site_fract_z
Sr1 0.000 0.000 0.000
Y1 0.000 0.500 0.000
Zn1 0.000 0.000 0.500
Se1 0.500 0.500 0.500
```

=====

2.
Computed, not measured: a PBEsol-optimized structure of SrZnSe2 at the meta-GGA SCAN level of DFT.

CIF file:
```
data_SrZnSe2
_cell_length_a 7.150
_cell_length_b 7.150
_cell_length_c 7.993
_cell_angle_alpha 90.00
_cell_angle_beta 90.00
_cell_angle_gamma 90.00
_symmetry_space_group_name_H-M 'I -4 2 d'
_symmetry_Int_Tables_number 122
_symmetry_space_group_name_Hall 'I -4 2bw'
loop_
_atom_site_label
_atom_site_fract_x
_atom_site_fract_y
_atom_site_fract_z
Sr1 0.000 0.000 0.000
Zn1 0.000 0.000 0.500
Se1 0.185 0.250 0.625
```

=====

3.
Computed, not measured: a PBEsol-optimized structure of SrZnSe4 at the meta-GGA SCAN level of DFT.

CIF file:
```
data_SrZnSe4
_cell_length_a 8.199
_cell_length_b 8.199
_cell_length_c 8.199
_cell_angle_alpha 90.00
_cell_angle_beta 90.00
_cell_angle_gamma 90.00
_symmetry_space_group_name_H-M 'F -4 3 m'
_symmetry_Int_Tables_number 216
_symmetry_space_group_name_Hall 'F -4 2 3'
loop_
_atom_site_label
_atom_site_fract_x
_atom_site_fract_y
_atom_site_fract_z
Sr1 0.000 0.000 0.000
Zn1 0.250 0.250 0.750
Se1 0.124 0.124 0.376
```

=====

Looking at total moment for the records above, in order, we have 0.90; 0.00; 0.00 μB/f.u..
Looking at E_form (uncorrected) for the records above, in order, we have 1.08; -1.41; -0.22 eV per atom.
Looking at VASP energy for the records above, in order, we have -106.17; -81.57; -117.42 eV/f.u..